(1)
# Li2Pm2Pt3 | Alexandria | PBE | relaxed
# * DFT formation energy: -754.9 meV per atom
# * V: 446 Å³ per cell
data_Li2Pm2Pt3
_chemical_formula_sum 'Li6 Pm6 Pt9'
_cell_length_a 5.8007
_cell_length_b 5.8007
_cell_length_c 15.2952
_cell_angle_alpha 90.00
_cell_angle_beta 90.00
_cell_angle_gamma 120.00
_space_group_name_H-M_alt 'R -3 m'
_space_group_IT_number 166
_space_group_name_Hall '-R 3 2"'
loop_
_atom_site_label
_atom_site_type_symbol
_atom_site_fract_x
_atom_site_fract_y
_atom_site_fract_z
Li1 Li 0.0000 0.0000 0.2072
Pm1 Pm 0.0000 0.0000 0.0000
Pm2 Pm 0.0000 0.0000 0.5000
Pt1 Pt 0.0000 0.5000 0.0000

(2)
# PaHN2 | Alexandria | PBE | relaxed
# * V: 236 Å³ per cell
# * total energy: -8.51 eV per atom
data_PaHN2
_chemical_formula_sum 'Pa4 H4 N8'
_cell_length_a 3.647
_cell_length_b 15.141
_cell_length_c 4.282
_cell_angle_alpha 90.00
_cell_angle_beta 90.00
_cell_angle_gamma 90.00
_space_group_name_H-M_alt 'C m c 21'
_space_group_IT_number 36
_space_group_name_Hall 'C 2c -2'
loop_
_atom_site_label
_atom_site_type_symbol
_atom_site_fract_x
_atom_site_fract_y
_atom_site_fract_z
Pa1 Pa 0.000 0.172 0.000
H1 H 0.000 0.476 0.375
N1 N 0.000 0.232 0.502
N2 N 0.000 0.415 0.482

Question: V of number 2 (PaHN2)?
Answer: 236 Å³ per cell

Question: Look up the V of the second one.
Answer: 236 Å³ per cell

Question: The lowest V belongs to which entry?
Answer: PaHN2